Here is a geometry-optimized K2CaAu2 structure from the Alexandria database. Energies are from PBE.

Cell lengths 9.158, 9.158, 3.719 Å; angles 90.00, 90.00, 90.00 degrees
Element x y z (fractional)
K 0.122 0.378 0.000
K 0.378 0.878 0.000
K 0.622 0.122 0.000
K 0.878 0.622 0.000
Ca 0.000 0.000 0.000
Ca 0.500 0.500 0.000
Au 0.182 0.682 0.500
Au 0.318 0.182 0.500
Au 0.682 0.818 0.500
Au 0.818 0.318 0.500

Results
energy relative to the elements = -65 kJ/mol of formula units
total magnetization = 0.00 μB per formula unit
ΔE to the lowest computed polymorph = 183 meV per atom